[1]
# UGa6Fe6 (PBE, optimized geometry)
data_UGa6Fe6
_cell_length_a 4.997
_cell_length_b 8.466
_cell_length_c 8.658
_cell_angle_alpha 90.00
_cell_angle_beta 90.00
_cell_angle_gamma 90.00
_symmetry_space_group_name_H-M 'I m m m'
_symmetry_Int_Tables_number 71
_symmetry_space_group_name_Hall '-I 2 2'
loop_
_atom_site_label
_atom_site_type_symbol
_atom_site_fract_x
_atom_site_fract_y
_atom_site_fract_z
U1 U 0.000 0.000 0.000
Ga1 Ga 0.000 0.000 0.347
Ga2 Ga 0.000 0.342 0.000
Ga3 Ga 0.000 0.500 0.309
Fe1 Fe 0.000 0.265 0.500
Fe2 Fe 0.250 0.250 0.250
# energy	-0.23496	Ha/atom
# energy of formation	-0.223	eV/atom
# M_tot	17.31	μB per cell

[2]
# Ca2YF (PBE, optimized geometry)
data_Ca2YF
_cell_length_a 3.5954
_cell_length_b 3.5954
_cell_length_c 29.7929
_cell_angle_alpha 90.00
_cell_angle_beta 90.00
_cell_angle_gamma 120.00
_symmetry_space_group_name_H-M 'R -3 m'
_symmetry_Int_Tables_number 166
_symmetry_space_group_name_Hall '-R 3 2"'
loop_
_atom_site_label
_atom_site_type_symbol
_atom_site_fract_x
_atom_site_fract_y
_atom_site_fract_z
Ca1 Ca 0.0000 0.0000 0.1133
Y1 Y 0.0000 0.0000 0.0000
F1 F 0.0000 0.0000 0.5000
# energy	-0.15036	Ha/atom
# energy relative to the lowest polymorph listed for this composition	189.3	meV/atom
# M_tot	0.16	μB per cell
# ΔE_f (raw)	-4.03	eV per formula unit